A relaxed Dy3Ho6Tm2Mg crystal. Source: Alexandria via LeMat-Bulk, functional PBE.

```
Dy3Ho6Tm2Mg
1.0
-1.7711 -5.4369 2.0646
4.5649 2.9478 2.7260
-8.3740 5.9049 5.3619
Dy Mg Ho Tm
3 1 6 2
Cartesian
-0.6739 4.5083 5.2971
-2.7901 1.7079 5.0762
-4.9063 -1.0925 4.8553
0.0000 0.0000 0.0000
-0.3190 2.2381 2.6238
-5.2611 1.1777 7.5287
-5.5933 3.8133 5.2398
0.0132 -0.3975 4.9126
-2.4310 -0.5566 2.4033
-3.1492 3.9725 7.7491
0.3431 -2.6391 2.2853
2.4507 0.1500 2.5053
```

## Properties
VASP energy: -4.285 eV per atom
size of the total moment: 0.00 μB per cell